No. 1
4
Lattice="-0.001 3.402 -3.864 -4.665 2.024 1.783 2.697 3.501 3.082" Properties=species:S:1:pos:R:3 comment="CaAc2Tl, optimized geometry, DFT PBE" polymorph_energy_kcal_per_mol_atoms=0.098 dos_ef_per_ev_cell=5.14 crystal_system=tetragonal delta_e_f_mev_per_atom=-132 space_group=P4/mmm pbc="T T T"
Ac 1.349 1.751 1.541
Ac -2.332 1.012 0.892
Ca -0.001 1.701 -1.932
Tl -0.984 4.464 0.501

No. 2
5
Lattice="-2.004 2.004 6.886 2.004 -2.004 6.886 2.004 2.004 -6.886" Properties=species:S:1:pos:R:3 comment="AlZn2Se2, optimized geometry, DFT PBE" dos_ef_per_ev_cell=2.26 e_tot_ev_per_atom=-2.680 crystal_system=tetragonal space_group=I4/mmm pbc="T T T"
Al 0.000 0.000 0.000
Zn 2.004 0.000 3.443
Zn 0.000 2.004 3.443
Se 0.000 0.000 8.678
Se 0.000 0.000 5.095

No. 3
12
Lattice="5.954 0.000 -2.908 0.000 7.412 0.000 -1.087 0.000 10.661" Properties=species:S:1:pos:R:3 comment="Ac4TlSi, optimized geometry, DFT PBE" polymorph_energy_kcal_per_mol_atoms=0.000 dos_ef_per_ev_cell=11.81 crystal_system=monoclinic space_group=P2_1/m pbc="T T T"
Ac 2.911 1.853 3.070
Ac 1.956 5.559 4.683
Ac 3.292 1.853 7.035
Ac 1.575 5.559 0.717
Ac 4.916 0.051 0.103
Ac -0.049 3.757 7.650
Ac 4.916 3.655 0.103
Ac -0.049 7.361 7.650
Tl 1.801 1.853 -0.124
Tl 3.066 5.559 7.876
Si 0.550 1.853 5.179
Si 4.317 5.559 2.573

No. 4
5
Lattice="-3.956 1.539 2.716 -1.597 -4.766 0.375 2.683 -0.566 4.229" Properties=species:S:1:pos:R:3 comment="KYW3, optimized geometry, DFT PBE" polymorph_energy_kcal_per_mol_atoms=0.000 dos_ef_per_ev_cell=8.63 crystal_system=cubic delta_e_f_mev_per_atom=3061 space_group=Pm-3m pbc="T T T"
Y 0.000 0.000 0.000
K -1.435 -1.896 3.660
W -0.798 -2.383 0.187
W 1.341 -0.283 2.114
W -1.978 0.770 1.358

No. 5
5
Lattice="4.716 0.000 0.000 0.000 4.716 0.000 0.000 0.000 4.716" Properties=species:S:1:pos:R:3 comment="Re3SbRh, optimized geometry, DFT PBE" polymorph_energy_kcal_per_mol_atoms=0.000 dos_ef_per_ev_cell=7.71 crystal_system=cubic space_group=Pm-3m pbc="T T T"
Re 0.000 2.358 0.000
Re 0.000 0.000 2.358
Re 2.358 0.000 0.000
Rh 0.000 0.000 0.000
Sb 2.358 2.358 2.358

No. 6
11
Lattice="7.006 0.000 3.724 3.502 6.874 1.863 0.357 0.015 7.781" Properties=species:S:1:pos:R:3 comment="Tm3SeCl7, optimized geometry, DFT PBE" dos_ef_per_ev_cell=0.00 e_tot_ev_per_atom=-4.906 crystal_system=monoclinic space_group=Cm pbc="T T T"
Tm 1.577 1.817 5.486
Tm 6.889 5.150 8.296
Tm 3.281 5.150 6.378
Se 7.836 4.043 10.614
Cl 5.789 6.336 6.013
Cl 4.466 4.185 8.502
Cl 9.277 6.179 7.904
Cl 2.602 0.526 7.519
Cl 6.323 0.526 9.498
Cl 3.901 2.967 5.053
Cl 7.641 2.967 7.041